1.
This record from Alexandria via LeMat-Bulk describes a relaxed structure of PmY6Tm3. The functional is PBE-GGA.

Energy above the most stable polymorph in this dataset (kJ/mol of atoms): 0.0
Energy of formation (eV per atom): 0.12

Unit cell a=6.3892 b=11.4948 c=11.4948 alpha=130.36 beta=90.00 gamma=90.00
Atoms (fractional coordinates):
Pm 0.0121 0.1619 0.8381
Pm 0.5121 0.8381 0.1619
Y 0.0728 0.7384 0.6214
Y 0.5728 0.6214 0.7384
Y 0.3286 0.4579 0.8951
Y 0.8286 0.8951 0.4579
Y 0.3128 0.9845 0.0155
Y 0.7866 0.3010 0.6990
Y 0.2866 0.6990 0.3010
Y 0.8128 0.0155 0.9845
Y 0.3286 0.1049 0.5421
Y 0.8286 0.5421 0.1049
Y 0.0728 0.3786 0.2616
Y 0.5728 0.2616 0.3786
Tm 0.4866 0.9568 0.7046
Tm 0.9866 0.7046 0.9568
Tm 0.0978 0.4175 0.5825
Tm 0.5978 0.5825 0.4175
Tm 0.9866 0.0432 0.2954
Tm 0.4866 0.2954 0.0432

---

2.
This record from Alexandria via LeMat-Bulk describes a relaxed structure of BPO. The functional is PBE-GGA.

Energy above the most stable polymorph in this dataset (kJ/mol of atoms): 10.8
Formation energy (no corrections) (eV/atom): -0.97

Unit cell a=3.2522 b=3.2549 c=4.0887 alpha=66.89 beta=66.84 gamma=60.22
Atoms (fractional coordinates):
P 0.4761 0.2191 0.2219
B 0.7514 0.4948 0.4049
O 0.5544 0.3074 0.7901

---

3.
This record from Alexandria via LeMat-Bulk describes a relaxed structure of FeNiPt4. The functional is PBE-GGA.

Energy above the most stable polymorph in this dataset (kJ/mol of atoms): 31.8
Energy of formation (eV per atom): 0.27

Unit cell a=5.1847 b=5.1847 c=5.1847 alpha=60.00 beta=60.00 gamma=60.00
Each line ends with the local moment (μB).
Atoms (fractional coordinates):
Fe 0.7500 0.7500 0.7500  3.34
Ni 0.0000 0.0000 0.0000  0.62
Pt 0.8754 0.3748 0.3748  0.04
Pt 0.3748 0.3748 0.8754  0.04
Pt 0.3748 0.8754 0.3748  0.04
Pt 0.3748 0.3748 0.3748  0.04

---

4.
This record from Alexandria via LeMat-Bulk describes a relaxed structure of MgTlHgF6. The functional is PBE-GGA.

Formation energy (no corrections) (eV/atom): -2.18

Unit cell a=5.8122 b=5.8122 c=9.4690 alpha=90.00 beta=90.00 gamma=120.00
Atoms (fractional coordinates):
Mg 0.6667 0.3333 0.2500
Mg 0.3333 0.6667 0.7500
Tl 0.3333 0.6667 0.2500
Tl 0.6667 0.3333 0.7500
Hg 0.0000 0.0000 0.0000
Hg 0.0000 0.0000 0.5000
F 0.6759 0.6302 0.1322
F 0.9543 0.3241 0.1322
F 0.3241 0.9543 0.6322
F 0.0457 0.6759 0.8678
F 0.3698 0.3241 0.3678
F 0.9543 0.6302 0.3678
F 0.6302 0.9543 0.8678
F 0.6759 0.0457 0.3678
F 0.0457 0.3698 0.6322
F 0.3698 0.0457 0.1322
F 0.6302 0.6759 0.6322
F 0.3241 0.3698 0.8678

---

5.
This record from Alexandria via LeMat-Bulk describes a relaxed structure of Y3ZnTe2. The functional is PBE-GGA.

Formation energy (no corrections) (eV/atom): -0.98

Unit cell a=4.1599 b=6.1048 c=7.6177 alpha=113.62 beta=105.85 gamma=90.00
Atoms (fractional coordinates):
Y 0.3447 0.3447 0.6894
Y 0.0000 0.0000 0.0000
Y 0.6553 0.6553 0.3106
Zn 0.0000 0.5000 0.0000
Te 0.6721 0.1721 0.3442
Te 0.3279 0.8279 0.6558

---

6.
This record from Alexandria via LeMat-Bulk describes a relaxed structure of Sc2TcSb. The functional is PBE-GGA.

Formation energy (no corrections) (eV/atom): -0.36

Unit cell a=4.7213 b=4.7213 c=4.7213 alpha=60.00 beta=60.00 gamma=60.00
Atoms (fractional coordinates):
Sb 0.5000 0.5000 0.5000
Sc 0.0000 0.0000 0.0000
Sc 0.2500 0.2500 0.2500
Tc 0.7500 0.7500 0.7500

---

7.
This record from Alexandria via LeMat-Bulk describes a relaxed structure of TiVN3. The functional is PBE-GGA.

Formation energy (no corrections) (eV/atom): -0.02

Unit cell a=3.7407 b=3.7407 c=3.7407 alpha=90.00 beta=90.00 gamma=90.00
Atoms (fractional coordinates):
V 0.0000 0.0000 0.0000
Ti 0.5000 0.5000 0.5000
N 0.0000 0.5000 0.0000
N 0.0000 0.0000 0.5000
N 0.5000 0.0000 0.0000

---

8.
This record from Alexandria via LeMat-Bulk describes a relaxed structure of LaEr6Tm6. The functional is PBE-GGA.

Energy of formation (eV per atom): 0.27

Unit cell a=6.5656 b=6.5656 c=11.4016 alpha=90.00 beta=90.00 gamma=120.00
Each line ends with the local moment (μB).
Atoms (fractional coordinates):
La 0.0000 0.0000 0.0000  -0.06
Er 0.0000 0.0000 0.6479  -0.12
Er 0.0000 0.0000 0.3521  -0.12
Er 0.3333 0.6667 0.0000  -0.02
Er 0.6667 0.3333 0.0000  -0.02
Er 0.3333 0.6667 0.5000  -0.23
Er 0.6667 0.3333 0.5000  -0.23
Tm 0.0000 0.5000 0.7554  -0.09
Tm 0.5000 0.0000 0.7554  -0.09
Tm 0.5000 0.5000 0.7554  -0.09
Tm 0.5000 0.0000 0.2446  -0.09
Tm 0.0000 0.5000 0.2446  -0.09
Tm 0.5000 0.5000 0.2446  -0.09